Entry from Alexandria: Cs2CoAg2F6 after structural relaxation (GGA+U).

Unit cell a=6.925 b=6.925 c=6.925 alpha=57.65 beta=57.65 gamma=57.65
Element x y z (fractional)
Cs 0.221 0.221 0.221
Cs 0.779 0.779 0.779
Co 0.000 0.000 0.000
Ag 0.417 0.417 0.417
Ag 0.583 0.583 0.583
F 0.208 0.785 0.785
F 0.215 0.215 0.792
F 0.215 0.792 0.215
F 0.785 0.208 0.785
F 0.785 0.785 0.208
F 0.792 0.215 0.215

crystal system: trigonal
size of the total moment: 3.0 μB per formula unit
E_tot: -3.9831 eV per atom
theoretical density: 4.9 Mg/m³